Entry 1:
Computed, not measured: an optimized crystal structure of Sm3ErTh at the PBE-GGA level of DFT.

a b c (Å): 6.863 6.863 9.576
angles (deg): 69.00 69.00 60.00
Sites, in units of the cell vectors:
Th 0.303 0.303 0.090
Th 0.697 0.697 0.910
Sm 0.254 0.769 0.208
Sm 0.746 0.231 0.792
Sm 0.231 0.746 0.792
Sm 0.769 0.254 0.208
Sm 0.231 0.231 0.792
Sm 0.769 0.769 0.208
Er 0.183 0.183 0.451
Er 0.817 0.817 0.549

Computed properties:
The formation energy is 0.311 eV per atom. The space group is R-3m. Its density of states at the Fermi level is 16.28 states/eV/cell. The energy relative to the lowest polymorph listed for this composition is 258 meV per atom.

Entry 2:
Computed, not measured: an optimized crystal structure of SmEr2Th at the PBE-GGA level of DFT.

a b c (Å): 3.589 6.197 11.950
angles (deg): 90.03 107.54 89.97
Sites, in units of the cell vectors:
Er 0.262 0.136 0.057
Er 0.251 0.969 0.546
Er 0.762 0.636 0.057
Er 0.751 0.469 0.546
Sm 0.507 0.302 0.801
Sm 0.006 0.802 0.801
Th 0.507 0.802 0.301
Th 0.006 0.302 0.301

Computed properties:
The formation energy is -0.005 eV per atom. The space group is C2/m. Its density of states at the Fermi level is 10.95 states/eV/cell. The energy relative to the lowest polymorph listed for this composition is 0 meV per atom.

Entry 3:
Computed, not measured: an optimized crystal structure of Sm8Er3Th3 at the PBE-GGA level of DFT.

a b c (Å): 5.737 9.690 9.690
angles (deg): 103.07 72.78 72.78
Sites, in units of the cell vectors:
Sm 0.165 0.232 0.437
Sm 0.165 0.437 0.232
Sm 0.658 0.119 0.565
Sm 0.342 0.881 0.435
Sm 0.835 0.768 0.563
Sm 0.342 0.435 0.881
Sm 0.658 0.565 0.119
Sm 0.835 0.563 0.768
Er 0.187 0.813 0.813
Er 0.500 0.500 0.500
Er 0.813 0.187 0.187
Th 0.000 0.816 0.184
Th 0.000 0.184 0.816
Th 0.500 0.000 0.000

Computed properties:
The formation energy is 0.161 eV per atom. The space group is Immm. Its density of states at the Fermi level is 21.62 states/eV/cell.